(1)
# Cs2CdHg2Se4

An optimized crystal structure of Cs2CdHg2Se4 (PBE-GGA, Alexandria).

For the energy relative to the elements, uncorrected, the calculation gives -647.1 meV/atom.

The structure belongs to space group C2/m (No. 12); the cell edges are 18.0074, 4.2723 and 8.1693 Å and the angles 90.00°, 106.93° and 90.00°. The distinct sites, in fractional coordinates, are Cs at (0.1245, 0.0000, 0.0422), Cd at (0.0000, 0.0000, 0.5000), Hg at (0.1653, 0.5000, 0.4970), Se at (0.0206, 0.5000, 0.2882) and Se at (0.2196, 0.0000, 0.6972).


(2)
# NaSr4Tm3S8

An optimized crystal structure of NaSr4Tm3S8 (PBE-GGA, Alexandria).

For the energy relative to the elements, uncorrected, the calculation gives -1986.2 meV/atom.

The structure belongs to space group R-3m (No. 166, hexagonal axes); the cell edges are 8.1088, 8.1088 and 20.0847 Å and the angles 90.00°, 90.00° and 120.00°. The distinct sites, in fractional coordinates, are Na at (0.0000, 0.0000, 0.0000), Sr at (0.0000, 0.0000, 0.5000), Sr at (0.0000, 0.5000, 0.5000), Tm at (0.0000, 0.5000, 0.0000), S at (0.0000, 0.0000, 0.2586) and S at (0.0098, 0.5049, 0.2580).


(3)
# BeTlSn2

An optimized crystal structure of BeTlSn2 (PBE-GGA, Alexandria).

Its energy relative to the elements is 0.541 eV per atom.

The structure belongs to space group Fm-3m (No. 225); the cell edges are 7.3157, 7.3157 and 7.3157 Å and the angles 90.00°, 90.00° and 90.00°. The distinct sites, in fractional coordinates, are Be at (0.0000, 0.0000, 0.0000), Tl at (0.0000, 0.0000, 0.5000) and Sn at (0.2500, 0.2500, 0.2500).


(4)
# MgGe2Se

An optimized crystal structure of MgGe2Se (PBE-GGA, Alexandria).

For the energy relative to the elements, uncorrected, the calculation gives 224.6 meV/atom.

The structure belongs to space group Fm-3m (No. 225); the cell edges are 6.9088, 6.9088 and 6.9088 Å and the angles 90.00°, 90.00° and 90.00°. The distinct sites, in fractional coordinates, are Mg at (0.0000, 0.0000, 0.0000), Ge at (0.2500, 0.2500, 0.2500) and Se at (0.0000, 0.0000, 0.5000).


(5)
# PrHoTm2

An optimized crystal structure of PrHoTm2 (PBE-GGA, Alexandria).

Its energy relative to the elements is 0.022 eV per atom.

The structure belongs to space group Imm2 (No. 44); the cell edges are 3.6362, 11.3268 and 6.2490 Å and the angles 90.00°, 90.00° and 90.00°. The distinct sites, in fractional coordinates, are Pr at (0.0000, 0.0000, 0.0000), Ho at (0.0000, 0.5000, 0.9959) and Tm at (0.0000, 0.2476, 0.6621).


(6)
# Gd2HfZn

An optimized crystal structure of Gd2HfZn (PBE-GGA, Alexandria).

Its energy relative to the elements is -0.072 eV per atom.

The structure belongs to space group P4/mmm (No. 123); the cell edges are 3.4046, 3.4046 and 8.6236 Å and the angles 90.00°, 90.00° and 90.00°. The distinct sites, in fractional coordinates, are Gd at (0.0000, 0.0000, 0.2322), Hf at (0.5000, 0.5000, 0.5000) and Zn at (0.5000, 0.5000, 0.0000).


E_tot, record by record: -2.554; -5.391; -2.983; -3.354; -4.553; -9.919 eV per atom